VASP calculation (PBE-GGA) on crystalline GaTe4Au2 at its relaxed geometry.

```
data_GaTe4Au2
_space_group_name_H-M_alt 'I 4/m'
_space_group_IT_number 87
_space_group_name_Hall '-I 4'
_cell_length_a 7.044
_cell_length_b 7.044
_cell_length_c 8.518
_cell_angle_alpha 90.00
_cell_angle_beta 90.00
_cell_angle_gamma 90.00
loop_
_atom_site_label
_atom_site_type_symbol
_atom_site_fract_x
_atom_site_fract_y
_atom_site_fract_z
Ga1 Ga 0.000 0.000 0.000
Te1 Te 0.138 0.291 0.500
Au1 Au 0.000 0.500 0.250
```

VASP calculation (PBE-GGA) on crystalline GaTe2Au at its relaxed geometry.

```
data_GaTe2Au
_space_group_name_H-M_alt 'P 1 21/c 1'
_space_group_IT_number 14
_cell_length_a 9.030
_cell_length_b 4.395
_cell_length_c 12.322
_cell_angle_alpha 90.00
_cell_angle_beta 118.89
_cell_angle_gamma 90.00
loop_
_space_group_symop_operation_xyz
'x,y,z'
'-x,-y,-z'
'-x,y+1/2,-z+1/2'
'x,-y+1/2,z+1/2'
loop_
_atom_site_label
_atom_site_type_symbol
_atom_site_fract_x
_atom_site_fract_y
_atom_site_fract_z
Ga1 Ga 0.150 0.224 0.260
Te1 Te 0.236 0.572 0.103
Te2 Te 0.427 0.665 0.883
Au1 Au 0.068 0.104 0.921
```

VASP calculation (PBE-GGA) on crystalline GaTe2Au at its relaxed geometry.

```
data_GaTe2Au
_space_group_name_H-M_alt 'P 1'
_space_group_IT_number 1
_cell_length_a 4.361
_cell_length_b 4.989
_cell_length_c 6.295
_cell_angle_alpha 88.46
_cell_angle_beta 87.08
_cell_angle_gamma 83.68
loop_
_space_group_symop_operation_xyz
'x,y,z'
loop_
_atom_site_label
_atom_site_type_symbol
_atom_site_fract_x
_atom_site_fract_y
_atom_site_fract_z
Ga1 Ga 0.000 0.000 0.000
Te1 Te 0.096 0.644 0.701
Te2 Te 0.460 0.092 0.234
Au1 Au 0.628 0.412 0.896
```

VASP calculation (PBE-GGA) on crystalline GaTe3Au2 at its relaxed geometry.

```
data_GaTe3Au2
_space_group_name_H-M_alt 'C 1 c 1'
_space_group_IT_number 9
_cell_length_a 7.699
_cell_length_b 13.391
_cell_length_c 7.648
_cell_angle_alpha 90.00
_cell_angle_beta 109.21
_cell_angle_gamma 90.00
loop_
_space_group_symop_operation_xyz
'x,y,z'
'x,-y,z+1/2'
'x+1/2,y+1/2,z'
'x+1/2,-y+1/2,z+1/2'
loop_
_atom_site_label
_atom_site_type_symbol
_atom_site_fract_x
_atom_site_fract_y
_atom_site_fract_z
Ga1 Ga 0.000 0.083 0.000
Te1 Te 0.365 0.420 0.123
Te2 Te 0.367 0.086 0.111
Te3 Te 0.368 0.252 0.613
Au1 Au 0.481 0.083 0.486
Au2 Au 0.493 0.256 0.989
```

VASP calculation (PBE-GGA) on crystalline GaTeAu2 at its relaxed geometry.

```
data_GaTeAu2
_space_group_name_H-M_alt 'F m -3 m'
_space_group_IT_number 225
_space_group_name_Hall '-F 4 2 3'
_cell_length_a 6.986
_cell_length_b 6.986
_cell_length_c 6.986
_cell_angle_alpha 90.00
_cell_angle_beta 90.00
_cell_angle_gamma 90.00
loop_
_atom_site_label
_atom_site_type_symbol
_atom_site_fract_x
_atom_site_fract_y
_atom_site_fract_z
Ga1 Ga 0.000 0.000 0.000
Te1 Te 0.000 0.000 0.500
Au1 Au 0.250 0.250 0.250
```

VASP calculation (PBE-GGA) on crystalline GaTe2Au2 at its relaxed geometry.

```
data_GaTe2Au2
_space_group_name_H-M_alt 'P 4/m b m'
_space_group_IT_number 127
_space_group_name_Hall '-P 4 2ab'
_cell_length_a 7.859
_cell_length_b 7.859
_cell_length_c 3.883
_cell_angle_alpha 90.00
_cell_angle_beta 90.00
_cell_angle_gamma 90.00
loop_
_atom_site_label
_atom_site_type_symbol
_atom_site_fract_x
_atom_site_fract_y
_atom_site_fract_z
Ga1 Ga 0.000 0.000 0.000
Te1 Te 0.183 0.317 0.500
Au1 Au 0.127 0.627 0.000
```

VASP calculation (PBE-GGA) on crystalline Ga2Te2Au at its relaxed geometry.

```
data_Ga2Te2Au
_space_group_name_H-M_alt 'P 4/m b m'
_space_group_IT_number 127
_space_group_name_Hall '-P 4 2ab'
_cell_length_a 7.805
_cell_length_b 7.805
_cell_length_c 3.896
_cell_angle_alpha 90.00
_cell_angle_beta 90.00
_cell_angle_gamma 90.00
loop_
_atom_site_label
_atom_site_type_symbol
_atom_site_fract_x
_atom_site_fract_y
_atom_site_fract_z
Ga1 Ga 0.153 0.347 0.000
Te1 Te 0.160 0.660 0.500
Au1 Au 0.000 0.000 0.000
```

VASP calculation (PBE-GGA) on crystalline GaTe2Au at its relaxed geometry.

```
data_GaTe2Au
_space_group_name_H-M_alt 'P 1'
_space_group_IT_number 1
_cell_length_a 4.309
_cell_length_b 7.548
_cell_length_c 8.150
_cell_angle_alpha 108.65
_cell_angle_beta 105.32
_cell_angle_gamma 90.03
loop_
_space_group_symop_operation_xyz
'x,y,z'
loop_
_atom_site_label
_atom_site_type_symbol
_atom_site_fract_x
_atom_site_fract_y
_atom_site_fract_z
Ga1 Ga 0.000 0.000 0.000
Ga2 Ga 0.268 0.818 0.535
Te1 Te 0.093 0.660 0.183
Te2 Te 0.348 0.565 0.698
Te3 Te 0.581 0.227 0.165
Te4 Te 0.833 0.044 0.665
Au1 Au 0.530 0.817 0.056
Au2 Au 0.761 0.358 0.525
```

VASP calculation (PBE-GGA) on crystalline GaTe2Au at its relaxed geometry.

```
data_GaTe2Au
_space_group_name_H-M_alt 'R -3 m'
_space_group_IT_number 166
_space_group_name_Hall '-R 3 2"'
_cell_length_a 4.2147
_cell_length_b 4.2147
_cell_length_c 24.5300
_cell_angle_alpha 90.00
_cell_angle_beta 90.00
_cell_angle_gamma 120.00
loop_
_atom_site_label
_atom_site_type_symbol
_atom_site_fract_x
_atom_site_fract_y
_atom_site_fract_z
Ga1 Ga 0.0000 0.0000 0.0000
Te1 Te 0.0000 0.0000 0.3944
Au1 Au 0.0000 0.0000 0.5000
```

VASP calculation (PBE-GGA) on crystalline Ga12Te5Au3 at its relaxed geometry.

```
data_Ga12Te5Au3
_space_group_name_H-M_alt 'I a -3 d'
_space_group_IT_number 230
_space_group_name_Hall '-I 4bd 2c 3'
_cell_length_a 16.149
_cell_length_b 16.149
_cell_length_c 16.149
_cell_angle_alpha 90.00
_cell_angle_beta 90.00
_cell_angle_gamma 90.00
loop_
_atom_site_label
_atom_site_type_symbol
_atom_site_fract_x
_atom_site_fract_y
_atom_site_fract_z
Ga1 Ga 0.011 0.089 0.654
Te1 Te 0.000 0.000 0.000
Te2 Te 0.000 0.250 0.375
Au1 Au 0.000 0.250 0.125
```

Number 1: formation energy from raw total energies 22 kJ/mol of formula units, DOS at the Fermi energy 3.025 states/eV/f.u.. Number 2: formation energy from raw total energies -28 kJ/mol of formula units, DOS at the Fermi energy 1.719 states/eV/f.u.. Number 3: formation energy from raw total energies -73 kJ/mol of formula units, DOS at the Fermi energy 0.000 states/eV/f.u.. Number 4: formation energy from raw total energies -101 kJ/mol of formula units, DOS at the Fermi energy 2.480 states/eV/f.u.. Number 5: formation energy from raw total energies 36 kJ/mol of formula units, DOS at the Fermi energy 2.246 states/eV/f.u.. Number 6: formation energy from raw total energies 48 kJ/mol of formula units, DOS at the Fermi energy 3.335 states/eV/f.u.. Number 7: formation energy from raw total energies 62 kJ/mol of formula units, DOS at the Fermi energy 3.165 states/eV/f.u.. Number 8: formation energy from raw total energies -74 kJ/mol of formula units, DOS at the Fermi energy 0.167 states/eV/f.u.. Number 9: formation energy from raw total energies -23 kJ/mol of formula units, DOS at the Fermi energy 1.388 states/eV/f.u.. Number 10: formation energy from raw total energies -112 kJ/mol of formula units, DOS at the Fermi energy 9.512 states/eV/f.u..